TbSmPt | PBE | optimized geometry

a = 6.9332 Å, b = 13.4391 Å, c = 7.1931 Å
α = 90.00°, β = 90.00°, γ = 90.00°
With the nearest neighbours (Å) after each atom.
Element x y z (fractional)
Tb1 0.0031 0.0311 0.2390  4 Pt 2.84-2.98
Tb2 0.0031 0.4689 0.7390  4 Pt 2.84-2.98
Tb3 0.4969 0.5311 0.2390  4 Pt 2.84-2.98
Tb4 0.4969 0.9689 0.7390  4 Pt 2.84-2.98
Tb5 0.5031 0.0311 0.2610  4 Pt 2.84-2.98
Tb6 0.5031 0.4689 0.7610  4 Pt 2.84-2.98
Tb7 0.9969 0.5311 0.2610  4 Pt 2.84-2.98
Tb8 0.9969 0.9689 0.7610  4 Pt 2.84-2.98
Sm1 0.1911 0.7000 0.8915  3 Pt 2.88-3.19
Sm2 0.1911 0.8000 0.3915  3 Pt 2.88-3.19
Sm3 0.3089 0.2000 0.8915  3 Pt 2.88-3.19
Sm4 0.3089 0.3000 0.3915  3 Pt 2.88-3.19
Sm5 0.6911 0.7000 0.6085  3 Pt 2.88-3.19
Sm6 0.6911 0.8000 0.1085  3 Pt 2.88-3.19
Sm7 0.8089 0.2000 0.6085  3 Pt 2.88-3.19
Sm8 0.8089 0.3000 0.1085  3 Pt 2.88-3.19
Pt1 0.2246 0.1041 0.5421  4 Tb 2.84-2.98, 2 Sm 2.88-2.91
Pt2 0.2246 0.3959 0.0421  4 Tb 2.84-2.98, 2 Sm 2.88-2.91
Pt3 0.2754 0.6041 0.5421  4 Tb 2.84-2.98, 2 Sm 2.88-2.91
Pt4 0.2754 0.8959 0.0421  4 Tb 2.84-2.98, 2 Sm 2.88-2.91
Pt5 0.7246 0.1041 0.9579  4 Tb 2.84-2.98, 2 Sm 2.88-2.91
Pt6 0.7246 0.3959 0.4579  4 Tb 2.84-2.98, 2 Sm 2.88-2.91
Pt7 0.7754 0.6041 0.9579  4 Tb 2.84-2.98, 2 Sm 2.88-2.91
Pt8 0.7754 0.8959 0.4579  4 Tb 2.84-2.98, 2 Sm 2.88-2.91

- space group = Pbca (61)
- N(E_F) (states/eV/atom) = 1.13
- energy relative to the elements (eV/atom) = -0.8781

=====

Th4OsPd | PBE | optimized geometry

a = 7.9934 Å, b = 7.9934 Å, c = 7.9934 Å
α = 106.87°, β = 106.87°, γ = 114.81°
With the nearest neighbours (Å) after each atom.
Element x y z (fractional)
Th1 0.1748 0.4737 0.7012  1 Os 2.79, 2 Pd 2.85-2.96
Th2 0.2237 0.0225 0.7988  1 Os 2.79, 2 Pd 2.85-2.96
Th3 0.2237 0.4248 0.2012  1 Os 2.79, 2 Pd 2.85-2.96
Th4 0.2986 0.0000 0.2986  2 Os 2.81-2.85, 1 Pd 2.98
Th5 0.7014 0.0000 0.7014  2 Os 2.81-2.85, 1 Pd 2.98
Th6 0.7500 0.5486 0.7986  2 Os 2.81-2.85, 1 Pd 2.98
Th7 0.7500 0.9514 0.2014  2 Os 2.81-2.85, 1 Pd 2.98
Th8 0.7725 0.4737 0.2988  1 Os 2.79, 2 Pd 2.85-2.96
Os1 0.7382 0.2382 0.5000  6 Th 2.79-2.85
Os2 0.9882 0.9882 0.0000  6 Th 2.79-2.85
Pd1 0.2354 0.7354 0.5000  6 Th 2.85-2.98
Pd2 0.4854 0.4854 0.0000  6 Th 2.85-2.98

- space group = I4_1md (109)
- N(E_F) (states/eV/atom) = 1.39
- energy relative to the elements (eV/atom) = -0.1377

=====

ScNbNi | PBE | optimized geometry

a = 5.0781 Å, b = 5.0781 Å, c = 5.0029 Å
α = 117.70°, β = 117.70°, γ = 78.56°
With the nearest neighbours (Å) after each atom.
Element x y z (fractional)
Sc1 0.1625 0.1625 0.4132  4 Ni 2.63-2.73, 1 Nb 2.88
Sc2 0.8375 0.8375 0.5868  4 Ni 2.63-2.73, 1 Nb 2.88
Nb1 0.5223 0.1707 0.0878  4 Ni 2.67-2.75, 3 Sc 2.88-2.98
Nb2 0.8293 0.4777 0.9122  4 Ni 2.67-2.75, 3 Sc 2.88-2.98
Ni1 0.3337 0.6663 0.0000  2 Ni 2.50, 4 Nb 2.67-2.68, 4 Sc 2.71-2.73
Ni2 0.3390 0.6610 0.5000  2 Ni 2.50, 4 Sc 2.63-2.69, 4 Nb 2.72-2.75

- space group = C2 (5)
- N(E_F) (states/eV/atom) = 1.10
- energy relative to the elements (eV/atom) = -0.1721

=====

ScCd4In | PBE | optimized geometry

a = 9.4279 Å, b = 9.4279 Å, c = 4.9671 Å
α = 90.67°, β = 90.67°, γ = 141.01°
With the nearest neighbours (Å) after each atom.
Element x y z (fractional)
Sc1 0.2025 0.7975 0.7500  4 In 3.07-3.15, 8 Cd 3.13-3.26
Sc2 0.7975 0.2025 0.2500  4 In 3.07-3.15, 8 Cd 3.13-3.26
Cd1 0.1060 0.3819 0.7581  5 Cd 2.97-3.23, 2 In 3.06-3.21, 3 Sc 3.13-3.26
Cd2 0.2018 0.2863 0.2670  7 Cd 2.90-3.23, 1 In 3.17, 1 Sc 3.24
Cd3 0.2863 0.2018 0.7670  7 Cd 2.90-3.23, 1 In 3.17, 1 Sc 3.24
Cd4 0.3819 0.1060 0.2581  5 Cd 2.97-3.23, 2 In 3.06-3.21, 3 Sc 3.13-3.26
Cd5 0.6181 0.8940 0.7419  5 Cd 2.97-3.23, 2 In 3.06-3.21, 3 Sc 3.13-3.26
Cd6 0.7137 0.7982 0.2330  7 Cd 2.90-3.23, 1 In 3.17, 1 Sc 3.24
Cd7 0.7982 0.7137 0.7330  7 Cd 2.90-3.23, 1 In 3.17, 1 Sc 3.24
Cd8 0.8940 0.6181 0.2419  5 Cd 2.97-3.23, 2 In 3.06-3.21, 3 Sc 3.13-3.26
In1 0.3043 0.6957 0.2500  8 Cd 3.06-3.33, 4 Sc 3.07-3.15
In2 0.6957 0.3043 0.7500  8 Cd 3.06-3.33, 4 Sc 3.07-3.15

- space group = C2/c (15)
- N(E_F) (states/eV/atom) = 0.50
- energy relative to the elements (eV/atom) = -0.1179

=====

Na2BPbO4 | PBE | optimized geometry

a = 5.4727 Å, b = 5.4727 Å, c = 5.4727 Å
α = 123.92°, β = 123.92°, γ = 83.33°
With the nearest neighbours (Å) after each atom.
Element x y z (fractional)
Na1 0.0000 0.0000 0.0000  4 O 2.26
Na2 0.7500 0.2500 0.5000  4 O 2.49
B1 0.2500 0.7500 0.5000  4 O 1.51
Pb1 0.5000 0.5000 0.0000  4 O 2.27
O1 0.1719 0.6735 0.1491  1 B 1.51
O2 0.3265 0.4756 0.4984  1 B 1.51
O3 0.5244 0.0228 0.8509  1 B 1.51
O4 0.9772 0.8281 0.5016  1 B 1.51

- space group = I-4 (82)
- N(E_F) (states/eV/atom) = 0.25
- formation energy (no corrections) (eV per formula unit) = -12.71

=====

La2CuRe | PBE | optimized geometry

a = 5.5734 Å, b = 5.5734 Å, c = 5.5734 Å
α = 133.75°, β = 133.75°, γ = 67.48°
With the nearest neighbours (Å) after each atom.
Element x y z (fractional)
La1 0.0000 0.0000 0.0000  4 Cu 3.10, 4 La 3.19, 4 Re 3.19
La2 0.7500 0.2500 0.5000  4 Re 3.10, 4 La 3.19, 4 Cu 3.19
Cu1 0.5000 0.5000 0.0000  8 La 3.10-3.19, 4 Re 3.19
Re1 0.2500 0.7500 0.5000  8 La 3.10-3.19, 4 Cu 3.19

- space group = I-4m2 (119)
- N(E_F) (states/eV/atom) = 0.86
- energy relative to the elements (eV/atom) = 0.3791

=====

Repeat the third record exactly.
ScNbNi | PBE | optimized geometry

a = 5.0781 Å, b = 5.0781 Å, c = 5.0029 Å
α = 117.70°, β = 117.70°, γ = 78.56°
With the nearest neighbours (Å) after each atom.
Element x y z (fractional)
Sc1 0.1625 0.1625 0.4132  4 Ni 2.63-2.73, 1 Nb 2.88
Sc2 0.8375 0.8375 0.5868  4 Ni 2.63-2.73, 1 Nb 2.88
Nb1 0.5223 0.1707 0.0878  4 Ni 2.67-2.75, 3 Sc 2.88-2.98
Nb2 0.8293 0.4777 0.9122  4 Ni 2.67-2.75, 3 Sc 2.88-2.98
Ni1 0.3337 0.6663 0.0000  2 Ni 2.50, 4 Nb 2.67-2.68, 4 Sc 2.71-2.73
Ni2 0.3390 0.6610 0.5000  2 Ni 2.50, 4 Sc 2.63-2.69, 4 Nb 2.72-2.75

- space group = C2 (5)
- N(E_F) (states/eV/atom) = 1.10
- energy relative to the elements (eV/atom) = -0.1721